{"formula": "LiTh2Ru", "functional": "PBE-GGA", "state": "relaxed", "delta_e_f_kj_per_mol_fu": -39, "space_group": "No. 123", "crystal_system": "tetragonal", "lattice": [[4.9801, 0.0000, 0.0000], [0.0000, 4.9801, 0.0000], [0.0000, 0.0000, 3.7230]], "species": ["Li", "Th", "Th", "Ru"], "fractional_positions": [[0.0000, 0.0000, 0.0000], [0.0000, 0.5000, 0.5000], [0.5000, 0.0000, 0.5000], [0.5000, 0.5000, 0.0000]]}



{"formula": "LiYThRu", "functional": "PBE-GGA", "state": "relaxed", "delta_e_f_kj_per_mol_fu": -82, "space_group": "No. 216", "crystal_system": "cubic", "lattice": [[0.0000, 3.5463, 3.5463], [3.5463, 0.0000, 3.5463], [3.5463, 3.5463, 0.0000]], "species": ["Li", "Y", "Th", "Ru"], "fractional_positions": [[0.0000, 0.0000, 0.0000], [0.2500, 0.2500, 0.2500], [0.7500, 0.7500, 0.7500], [0.5000, 0.5000, 0.5000]]}



Number 1: total energy -6.61 eV per atom. Number 2: total energy -6.48 eV per atom.